Entry 1:
First-principles (SCAN) data for a PBEsol-optimized structure of WC2, as listed in Alexandria via LeMat-Bulk. Values from VASP.

Cell and atoms, written as Quantum ESPRESSO input:
```
&SYSTEM
  ibrav = 0, nat = 3, ntyp = 2
/
ATOMIC_SPECIES
W 183.84 W.upf
C 12.01 C.upf
CELL_PARAMETERS angstrom
3.164 0.000 0.000
0.000 3.164 0.000
0.000 0.000 2.963
ATOMIC_POSITIONS crystal
W 0.000 0.000 0.000
C 0.000 0.500 0.500
C 0.500 0.000 0.500
```

Calculated values
**Energy above the most stable polymorph in this dataset**: 0.8778 eV per atom
**Formation energy**: 1.5407 eV/atom
**Total magnetization**: 0.0 μB per cell
**V**: 29.7 Å³ per cell

Entry 2:
First-principles (SCAN) data for a PBEsol-optimized structure of Ta2InPt, as listed in Alexandria via LeMat-Bulk. Values from VASP.

Cell and atoms, written as Quantum ESPRESSO input:
```
&SYSTEM
  ibrav = 0, nat = 4, ntyp = 3
/
ATOMIC_SPECIES
Ta 180.95 Ta.upf
In 114.82 In.upf
Pt 195.08 Pt.upf
CELL_PARAMETERS angstrom
2.841 -4.262 0.000
2.841 4.262 0.000
0.000 0.000 2.845
ATOMIC_POSITIONS crystal
Ta 0.000 0.500 0.000
Ta 0.500 0.000 0.000
In 0.000 0.000 0.500
Pt 0.500 0.500 0.500
```

Calculated values
**Formation energy**: -0.2338 eV/atom
**Total magnetization**: 0.0 μB per cell
**V**: 68.9 Å³ per cell

Entry 3:
First-principles (SCAN) data for a PBEsol-optimized structure of Hg5Pb, as listed in Alexandria via LeMat-Bulk. Values from VASP.

Cell and atoms, written as Quantum ESPRESSO input:
```
&SYSTEM
  ibrav = 0, nat = 6, ntyp = 2
/
ATOMIC_SPECIES
Hg 200.59 Hg.upf
Pb 207.20 Pb.upf
CELL_PARAMETERS angstrom
3.896 0.000 0.000
0.000 3.896 0.000
0.000 0.000 9.629
ATOMIC_POSITIONS crystal
Hg 0.000 0.000 0.000
Hg 0.000 0.000 0.320
Hg 0.000 0.000 0.680
Hg 0.500 0.500 0.160
Hg 0.500 0.500 0.840
Pb 0.500 0.500 0.500
```

Calculated values
**Energy above the most stable polymorph in this dataset**: 0.0000 eV per atom
**Formation energy**: 0.0338 eV/atom
**Total magnetization**: 0.0 μB per cell
**V**: 146.2 Å³ per cell

Entry 4:
First-principles (SCAN) data for a PBEsol-optimized structure of YTl2Zn, as listed in Alexandria via LeMat-Bulk. Values from VASP.

Cell and atoms, written as Quantum ESPRESSO input:
```
&SYSTEM
  ibrav = 0, nat = 4, ntyp = 3
/
ATOMIC_SPECIES
Y 88.91 Y.upf
Tl 204.38 Tl.upf
Zn 65.41 Zn.upf
CELL_PARAMETERS angstrom
4.520 0.000 0.000
0.000 4.520 0.000
0.000 0.000 4.443
ATOMIC_POSITIONS crystal
Y 0.000 0.000 0.000
Tl 0.000 0.500 0.500
Tl 0.500 0.000 0.500
Zn 0.500 0.500 0.000
```

Calculated values
**Formation energy**: -0.3293 eV/atom
**Total magnetization**: 0.0 μB per cell
**V**: 90.8 Å³ per cell

Entry 5:
First-principles (SCAN) data for a PBEsol-optimized structure of IrPb2W, as listed in Alexandria via LeMat-Bulk. Values from VASP.

Cell and atoms, written as Quantum ESPRESSO input:
```
&SYSTEM
  ibrav = 0, nat = 4, ntyp = 3
/
ATOMIC_SPECIES
Ir 192.22 Ir.upf
Pb 207.20 Pb.upf
W 183.84 W.upf
CELL_PARAMETERS angstrom
3.164 0.000 0.000
0.000 4.640 0.000
0.000 0.000 5.352
ATOMIC_POSITIONS crystal
Ir 0.000 0.000 0.000
Pb 0.000 0.500 0.500
Pb 0.500 0.500 0.000
W 0.500 0.000 0.500
```

Calculated values
**Energy above the most stable polymorph in this dataset**: 0.8595 eV per atom
**Formation energy**: 1.1645 eV/atom
**Total magnetization**: 0.9 μB per cell
**V**: 78.6 Å³ per cell

Entry 6:
First-principles (SCAN) data for a PBEsol-optimized structure of MoW3S8, as listed in Alexandria via LeMat-Bulk. Values from VASP.

Cell and atoms, written as Quantum ESPRESSO input:
```
&SYSTEM
  ibrav = 0, nat = 12, ntyp = 3
/
ATOMIC_SPECIES
Mo 95.94 Mo.upf
W 183.84 W.upf
S 32.06 S.upf
CELL_PARAMETERS angstrom
3.143 0.000 0.000
-1.571 2.722 0.000
0.000 0.000 25.010
ATOMIC_POSITIONS crystal
Mo 0.000 0.000 0.000
W 0.000 0.000 0.500
W 0.667 0.333 0.249
W 0.667 0.333 0.751
S 0.000 0.000 0.187
S 0.000 0.000 0.312
S 0.000 0.000 0.688
S 0.000 0.000 0.813
S 0.667 0.333 0.062
S 0.667 0.333 0.437
S 0.667 0.333 0.563
S 0.667 0.333 0.938
```

Calculated values
**Total magnetization**: 0.0 μB per cell
**Calculated total energy**: -27.608 eV per atom
**V**: 213.9 Å³ per cell

Entry 7:
First-principles (SCAN) data for a PBEsol-optimized structure of BaScCr2, as listed in Alexandria via LeMat-Bulk. Values from VASP.

Cell and atoms, written as Quantum ESPRESSO input:
```
&SYSTEM
  ibrav = 0, nat = 4, ntyp = 3
/
ATOMIC_SPECIES
Ba 137.33 Ba.upf
Sc 44.96 Sc.upf
Cr 52.00 Cr.upf
CELL_PARAMETERS angstrom
3.122 0.000 0.000
0.000 3.122 0.000
0.000 0.000 8.671
ATOMIC_POSITIONS crystal
Ba 0.000 0.000 0.000
Sc 0.500 0.500 0.625
Cr 0.000 0.000 0.423
Cr 0.500 0.500 0.305
```

Calculated values
**Formation energy**: 0.4481 eV/atom
**Total magnetization**: 0.5 μB per cell
**V**: 84.5 Å³ per cell

Entry 8:
First-principles (SCAN) data for a PBEsol-optimized structure of Cs2LiLaBr6, as listed in Alexandria via LeMat-Bulk. Values from VASP.

Cell and atoms, written as Quantum ESPRESSO input:
```
&SYSTEM
  ibrav = 0, nat = 10, ntyp = 4
/
ATOMIC_SPECIES
Cs 132.91 Cs.upf
Li 6.94 Li.upf
La 138.91 La.upf
Br 79.90 Br.upf
CELL_PARAMETERS angstrom
0.000 5.576 5.576
5.576 0.000 5.576
5.576 5.576 0.000
ATOMIC_POSITIONS crystal
Cs 0.250 0.250 0.250
Cs 0.750 0.750 0.750
Li 0.000 0.000 0.000
La 0.500 0.500 0.500
Br 0.241 0.241 0.759
Br 0.241 0.759 0.241
Br 0.241 0.759 0.759
Br 0.759 0.241 0.241
Br 0.759 0.241 0.759
Br 0.759 0.759 0.241
```

Calculated values
**Total magnetization**: 0.0 μB per cell
**Calculated total energy**: -25.860 eV per atom
**V**: 346.7 Å³ per cell

Entry 9:
First-principles (SCAN) data for a PBEsol-optimized structure of Y2Be, as listed in Alexandria via LeMat-Bulk. Values from VASP.

Cell and atoms, written as Quantum ESPRESSO input:
```
&SYSTEM
  ibrav = 0, nat = 6, ntyp = 2
/
ATOMIC_SPECIES
Y 88.91 Y.upf
Be 9.01 Be.upf
CELL_PARAMETERS angstrom
-1.692 1.692 12.570
1.692 -1.692 12.570
1.692 1.692 -12.570
ATOMIC_POSITIONS crystal
Y 0.311 0.561 0.750
Y 0.439 0.689 0.750
Y 0.561 0.311 0.250
Y 0.689 0.439 0.250
Be 0.125 0.875 0.250
Be 0.875 0.125 0.750
```

Calculated values
**Formation energy**: 0.1609 eV/atom
**Total magnetization**: 1.6 μB per cell
**V**: 144.0 Å³ per cell

Entry 10:
First-principles (SCAN) data for a PBEsol-optimized structure of FeMoP, as listed in Alexandria via LeMat-Bulk. Values from VASP.

Cell and atoms, written as Quantum ESPRESSO input:
```
&SYSTEM
  ibrav = 0, nat = 3, ntyp = 3
/
ATOMIC_SPECIES
Fe 55.84 Fe.upf
Mo 95.94 Mo.upf
P 30.97 P.upf
CELL_PARAMETERS angstrom
2.703 0.000 0.000
-1.352 2.341 0.000
0.000 0.000 5.844
ATOMIC_POSITIONS crystal
Fe 0.000 0.000 0.000
Mo 0.333 0.667 0.638
P 0.667 0.333 0.277
```

Calculated values
**Formation energy**: 0.1564 eV/atom
**Total magnetization**: 1.5 μB per cell
**V**: 37.0 Å³ per cell

Entry 11:
First-principles (SCAN) data for a PBEsol-optimized structure of BaMnAl2, as listed in Alexandria via LeMat-Bulk. Values from VASP.

Cell and atoms, written as Quantum ESPRESSO input:
```
&SYSTEM
  ibrav = 0, nat = 4, ntyp = 3
/
ATOMIC_SPECIES
Ba 137.33 Ba.upf
Mn 54.94 Mn.upf
Al 26.98 Al.upf
CELL_PARAMETERS angstrom
2.208 1.275 5.970
-2.208 1.275 5.970
0.000 -2.549 5.970
ATOMIC_POSITIONS crystal
Ba 0.000 0.000 0.000
Mn 0.186 0.186 0.186
Al 0.518 0.518 0.518
Al 0.809 0.809 0.809
```

Calculated values
**Formation energy**: -0.1233 eV/atom
**Total magnetization**: 3.9 μB per cell
**V**: 100.8 Å³ per cell

Entry 12:
First-principles (SCAN) data for a PBEsol-optimized structure of Li2Al, as listed in Alexandria via LeMat-Bulk. Values from VASP.

Cell and atoms, written as Quantum ESPRESSO input:
```
&SYSTEM
  ibrav = 0, nat = 9, ntyp = 2
/
ATOMIC_SPECIES
Li 6.94 Li.upf
Al 26.98 Al.upf
CELL_PARAMETERS angstrom
8.046 0.000 0.000
-4.023 6.968 0.000
0.000 0.000 2.672
ATOMIC_POSITIONS crystal
Li 0.000 0.313 0.000
Li 0.000 0.646 0.500
Li 0.313 0.000 0.000
Li 0.354 0.354 0.500
Li 0.646 0.000 0.500
Li 0.687 0.687 0.000
Al 0.000 0.000 0.500
Al 0.333 0.667 0.000
Al 0.667 0.333 0.000
```

Calculated values
**Formation energy**: -0.0750 eV/atom
**Total magnetization**: 0.0 μB per cell
**V**: 149.8 Å³ per cell